Record 1
Tc2OsBr | meta-GGA SCAN | PBEsol geometry

Properties
DFT total energy ... -39.603 eV per atom
Symmetry ... No. 99
Polymorph energy (0 for the lowest one) ... 0 meV per atom
Uncorrected formation energy ... 762 meV per atom
D(E_F) ... 4.06 states/eV/f.u.

The structure in POSCAR format:
```
Tc2OsBr
1.0
2.855 0.000 0.000
0.000 2.855 0.000
0.000 0.000 7.390
Tc Br Os
2 1 1
Cartesian
0.000 0.000 7.377
1.428 1.428 1.819
0.000 0.000 3.560
1.428 1.428 5.720
```

Record 2
TcOsBr | meta-GGA SCAN | PBEsol geometry

Properties
DFT total energy ... -40.842 eV per atom
Symmetry ... No. 216
Uncorrected formation energy ... 1291 meV per atom
D(E_F) ... 3.77 states/eV/f.u.

The structure in POSCAR format:
```
TcOsBr
1.0
4.230 0.000 0.000
2.115 3.663 0.000
2.115 1.221 3.453
Tc Br Os
1 1 1
Cartesian
0.000 0.000 0.000
4.230 2.442 1.727
2.115 1.221 0.863
```

Record 3
Tc2OsBr | meta-GGA SCAN | PBEsol geometry

Properties
DFT total energy ... -39.381 eV per atom
Symmetry ... No. 65
Polymorph energy (0 for the lowest one) ... 222 meV per atom
Uncorrected formation energy ... 984 meV per atom
D(E_F) ... 4.45 states/eV/f.u.

The structure in POSCAR format:
```
Tc2OsBr
1.0
-0.349 2.704 -0.429
-0.979 -1.111 2.329
8.095 1.714 4.221
Br Tc Os
1 2 1
Cartesian
3.384 1.653 3.060
1.911 0.405 0.996
6.184 1.309 3.224
-0.664 0.796 0.950
```

Record 4
Tc2OsBr | meta-GGA SCAN | PBEsol geometry

Properties
DFT total energy ... -39.492 eV per atom
Symmetry ... No. 10
Polymorph energy (0 for the lowest one) ... 111 meV per atom
Uncorrected formation energy ... 873 meV per atom
D(E_F) ... 3.27 states/eV/f.u.

The structure in POSCAR format:
```
Tc2OsBr
1.0
-1.152 0.600 -2.549
-3.586 0.411 1.717
1.483 4.751 1.960
Br Tc Os
1 2 1
Cartesian
-2.369 0.505 -0.416
0.961 3.596 1.146
-0.630 1.755 -1.735
-1.628 2.881 0.564
```

Record 5
Tc2OsBr | meta-GGA SCAN | PBEsol geometry

Properties
DFT total energy ... -39.560 eV per atom
Symmetry ... No. 8
Polymorph energy (0 for the lowest one) ... 44 meV per atom
Uncorrected formation energy ... 805 meV per atom
D(E_F) ... 3.64 states/eV/f.u.

The structure in POSCAR format:
```
Tc2OsBr
1.0
2.854 0.000 0.000
0.000 4.395 0.005
-1.427 -0.290 4.842
Br Tc Os
1 2 1
Cartesian
0.000 1.890 4.807
0.000 4.269 0.092
1.427 0.945 2.101
0.000 3.305 2.696
```

Record 6
TcOs3Br | meta-GGA SCAN | PBEsol geometry

Properties
DFT total energy ... -51.248 eV per atom
Symmetry ... No. 221
Uncorrected formation energy ... 2784 meV per atom
D(E_F) ... 5.61 states/eV/f.u.

The structure in POSCAR format:
```
TcOs3Br
1.0
4.452 0.000 0.000
0.000 4.452 0.000
0.000 0.000 4.452
Os Br Tc
3 1 1
Cartesian
0.000 0.000 2.226
2.226 0.000 0.000
0.000 2.226 0.000
0.000 0.000 0.000
2.226 2.226 2.226
```

Record 7
Te2OsBr | meta-GGA SCAN | PBEsol geometry

Properties
DFT total energy ... -40.193 eV per atom
Symmetry ... No. 216
Polymorph energy (0 for the lowest one) ... 0 meV per atom
Uncorrected formation energy ... 1267 meV per atom
D(E_F) ... 4.99 states/eV/f.u.

The structure in POSCAR format:
```
Te2OsBr
1.0
-4.258 1.081 -2.187
-0.482 -0.573 -4.850
-2.829 -3.596 -1.777
Te Os Br
2 1 1
Cartesian
0.000 0.000 0.000
-5.677 -2.315 -6.611
-1.892 -0.772 -2.204
-3.784 -1.544 -4.407
```

Record 8
Te2OsBr | meta-GGA SCAN | PBEsol geometry

Properties
DFT total energy ... -40.186 eV per atom
Symmetry ... No. 47
Polymorph energy (0 for the lowest one) ... 7 meV per atom
Uncorrected formation energy ... 1274 meV per atom
D(E_F) ... 2.79 states/eV/f.u.

The structure in POSCAR format:
```
Te2OsBr
1.0
3.300 0.000 0.000
0.000 4.793 0.000
0.000 0.000 5.319
Te Os Br
2 1 1
Cartesian
0.000 0.000 0.000
1.650 0.000 2.660
0.000 2.396 2.660
1.650 2.396 0.000
```

Record 9
Ti2OsBr2 | meta-GGA SCAN | PBEsol geometry

Properties
DFT total energy ... -28.024 eV per atom
Symmetry ... No. 139
Uncorrected formation energy ... 548 meV per atom
D(E_F) ... 2.97 states/eV/f.u.

The structure in POSCAR format:
```
Ti2OsBr2
1.0
3.926 0.000 0.000
0.000 3.926 0.000
-1.963 -1.963 6.022
Ti Br Os
2 2 1
Cartesian
0.000 0.000 4.757
1.963 1.963 1.264
1.963 0.000 3.011
0.000 1.963 3.011
0.000 0.000 0.000
```

Record 10
OsW2Br | meta-GGA SCAN | PBEsol geometry

Properties
DFT total energy ... -56.954 eV per atom
Symmetry ... No. 166
Polymorph energy (0 for the lowest one) ... 0 meV per atom
Uncorrected formation energy ... 724 meV per atom
D(E_F) ... 2.11 states/eV/f.u.

The structure in POSCAR format:
```
OsW2Br
1.0
-1.066 -1.318 2.332
1.186 -2.455 0.936
5.473 3.294 6.145
Os W Br
1 2 1
Cartesian
0.000 0.000 0.000
1.378 -0.137 2.335
4.215 -0.343 7.079
2.797 -0.240 4.707
```

Record 11
OsWBr3 | meta-GGA SCAN | PBEsol geometry

Properties
DFT total energy ... -38.271 eV per atom
Symmetry ... No. 221
Uncorrected formation energy ... 1718 meV per atom
D(E_F) ... 5.18 states/eV/f.u.

The structure in POSCAR format:
```
OsWBr3
1.0
4.956 0.000 0.000
0.000 4.956 0.000
0.000 0.000 4.956
Br Os W
3 1 1
Cartesian
0.000 2.478 0.000
0.000 0.000 2.478
2.478 0.000 0.000
0.000 0.000 0.000
2.478 2.478 2.478
```

Record 12
OsW2Br | meta-GGA SCAN | PBEsol geometry

Properties
DFT total energy ... -56.946 eV per atom
Symmetry ... No. 160
Polymorph energy (0 for the lowest one) ... 8 meV per atom
Uncorrected formation energy ... 733 meV per atom
D(E_F) ... 2.67 states/eV/f.u.

The structure in POSCAR format:
```
OsW2Br
1.0
2.898 0.000 0.000
1.449 2.510 0.000
1.449 0.837 8.858
Br W Os
1 2 1
Cartesian
2.898 1.673 4.560
4.347 2.510 0.066
4.347 2.510 6.590
1.449 0.837 2.070
```

Record 13
OsW2Br | meta-GGA SCAN | PBEsol geometry

Properties
DFT total energy ... -56.453 eV per atom
Symmetry ... No. 225
Polymorph energy (0 for the lowest one) ... 502 meV per atom
Uncorrected formation energy ... 1226 meV per atom
D(E_F) ... 3.43 states/eV/f.u.

The structure in POSCAR format:
```
OsW2Br
1.0
-3.786 1.312 -1.934
-3.801 -2.142 0.870
-3.165 1.979 2.421
Br Os W
1 1 2
Cartesian
0.000 0.000 0.000
-5.376 0.574 0.679
-8.064 0.861 1.018
-2.688 0.287 0.339
```

Record 14
YOsBr2 | meta-GGA SCAN | PBEsol geometry

Properties
DFT total energy ... -34.819 eV per atom
Symmetry ... No. 25
Polymorph energy (0 for the lowest one) ... 63 meV per atom
Uncorrected formation energy ... -159 meV per atom
D(E_F) ... 2.56 states/eV/f.u.

The structure in POSCAR format:
```
YOsBr2
1.0
-2.515 -0.892 -2.391
2.127 -3.005 -1.116
-3.056 -3.895 4.667
Br Os Y
2 1 1
Cartesian
-2.820 -3.594 4.306
-1.120 -3.129 -0.339
-1.697 -2.163 2.592
-2.391 -4.749 1.601
```

Record 15
Y4OsBr4 | meta-GGA SCAN | PBEsol geometry

Properties
DFT total energy ... -30.483 eV per atom
Symmetry ... No. 15
Uncorrected formation energy ... -1473 meV per atom

The structure in POSCAR format:
```
Y4OsBr4
1.0
6.467 -0.004 -0.004
-0.081 8.774 0.008
-0.081 0.105 8.773
Y Br Os
8 8 2
Cartesian
3.078 2.312 7.896
6.278 6.659 7.917
3.227 6.563 0.882
3.261 0.883 2.204
-0.006 0.956 6.555
3.044 7.992 6.573
6.311 7.918 2.223
0.027 2.216 0.860
3.738 7.188 3.704
2.568 3.671 1.680
3.736 5.204 7.098
5.802 1.718 3.650
0.503 7.157 5.128
5.801 5.089 1.629
2.567 1.687 5.073
0.504 3.786 7.149
4.769 0.144 8.728
1.536 8.731 0.050
```

Record 16
YOsBr2 | meta-GGA SCAN | PBEsol geometry

Properties
DFT total energy ... -34.882 eV per atom
Symmetry ... No. 44
Polymorph energy (0 for the lowest one) ... 0 meV per atom
Uncorrected formation energy ... -221 meV per atom
D(E_F) ... 1.63 states/eV/f.u.

The structure in POSCAR format:
```
YOsBr2
1.0
-1.405 -2.984 -0.278
3.577 -1.810 1.351
-3.200 2.819 5.627
Br Os Y
2 1 1
Cartesian
-1.909 -1.251 3.380
-0.081 0.016 0.235
1.014 -2.383 0.746
1.034 -0.754 2.875
```

Record 17
YOsBr2 | meta-GGA SCAN | PBEsol geometry

Properties
DFT total energy ... -34.839 eV per atom
Symmetry ... No. 99
Polymorph energy (0 for the lowest one) ... 42 meV per atom
Uncorrected formation energy ... -179 meV per atom
D(E_F) ... 3.38 states/eV/f.u.

The structure in POSCAR format:
```
YOsBr2
1.0
3.233 0.000 0.000
0.000 3.233 0.000
0.000 0.000 8.565
Y Os Br
1 1 2
Cartesian
1.616 1.616 6.227
0.000 0.000 4.319
0.000 0.000 8.143
1.616 1.616 2.723
```

Record 18
Y2OsBr | meta-GGA SCAN | PBEsol geometry

Properties
DFT total energy ... -37.610 eV per atom
Symmetry ... No. 123
Polymorph energy (0 for the lowest one) ... 0 meV per atom
Uncorrected formation energy ... -854 meV per atom
D(E_F) ... 1.42 states/eV/f.u.

The structure in POSCAR format:
```
Y2OsBr
1.0
-0.507 3.221 -0.724
-0.339 -0.780 -3.230
-7.873 -0.999 1.068
Os Y Br
1 2 1
Cartesian
-4.360 0.721 -1.443
-5.573 -0.707 0.756
-2.300 -0.292 0.312
-0.423 1.221 -1.977
```

Record 19
ZnOs2Br | meta-GGA SCAN | PBEsol geometry

Properties
DFT total energy ... -43.114 eV per atom
Symmetry ... No. 10
Polymorph energy (0 for the lowest one) ... 526 meV per atom
Uncorrected formation energy ... 1070 meV per atom
D(E_F) ... 3.21 states/eV/f.u.

The structure in POSCAR format:
```
ZnOs2Br
1.0
2.861 0.000 -0.017
0.000 4.356 0.000
-0.880 0.000 5.101
Os Zn Br
2 1 1
Cartesian
0.190 0.000 1.457
1.792 0.000 3.627
0.991 2.178 2.542
0.000 2.178 0.000
```

Record 20
ZnOs2Br | meta-GGA SCAN | PBEsol geometry

Properties
DFT total energy ... -43.640 eV per atom
Symmetry ... No. 99
Polymorph energy (0 for the lowest one) ... 0 meV per atom
Uncorrected formation energy ... 544 meV per atom
D(E_F) ... 1.82 states/eV/f.u.

The structure in POSCAR format:
```
ZnOs2Br
1.0
2.888 0.000 0.000
0.000 2.888 0.000
0.000 0.000 7.868
Zn Os Br
1 2 1
Cartesian
0.000 0.000 3.548
0.000 0.000 0.232
1.444 1.444 1.846
1.444 1.444 6.176
```